# DyGaRh4

A relaxed DyGaRh4 crystal (PBE-GGA, Alexandria).

Geometry as extended XYZ:
```
6
Lattice="-4.092 -2.107 2.481 -0.674 -5.185 -0.006 0.733 -2.737 4.394" Properties=species:S:1:pos:R:3 pbc="T T T"
Rh -2.892 -4.899 2.087
Rh -2.184 -3.667 4.301
Rh -2.523 -6.276 4.298
Rh -0.465 -5.216 3.050
Ga 0.000 0.000 0.000
Dy -1.008 -2.507 1.717
```

Output
formation enthalpy at 0 K = -0.44 eV/atom

---

# DyEr2GaN

A relaxed DyEr2GaN crystal (PBE-GGA, Alexandria).

Geometry as extended XYZ:
```
5
Lattice="-0.094 3.115 3.581 -3.820 2.007 -1.847 -2.726 -2.918 2.467" Properties=species:S:1:pos:R:3 pbc="T T T"
Dy -0.047 1.558 1.790
Er -1.363 -1.459 1.234
Er -1.910 1.004 -0.924
Ga -3.321 1.102 2.100
N 0.000 0.000 0.000
```

Output
raw formation energy = -4.96 eV per formula unit

---

What is the formula in the first record? DyGaRh4

---

Please write out number 1 again, unchanged.
# DyGaRh4

A relaxed DyGaRh4 crystal (PBE-GGA, Alexandria).

Geometry as extended XYZ:
```
6
Lattice="-4.092 -2.107 2.481 -0.674 -5.185 -0.006 0.733 -2.737 4.394" Properties=species:S:1:pos:R:3 pbc="T T T"
Rh -2.892 -4.899 2.087
Rh -2.184 -3.667 4.301
Rh -2.523 -6.276 4.298
Rh -0.465 -5.216 3.050
Ga 0.000 0.000 0.000
Dy -1.008 -2.507 1.717
```

Output
formation enthalpy at 0 K = -0.44 eV/atom